No. 1
Compound: CaTb6Y12
Source: Alexandria via LeMat-Bulk
Functional: PBE
Structure: optimized geometry

a = 8.777 Å, b = 9.482 Å, c = 9.482 Å
α = 69.07°, β = 72.03°, γ = 107.97°
Positions (direct):
Y1 0.679 0.893 0.840
Y2 0.266 0.428 0.627
Y3 0.162 0.055 0.572
Y4 0.519 0.840 0.267
Y5 0.786 0.267 0.893
Y6 0.214 0.733 0.107
Y7 0.107 0.373 0.055
Y8 0.481 0.160 0.733
Y9 0.734 0.572 0.373
Y10 0.838 0.945 0.428
Y11 0.321 0.107 0.160
Y12 0.893 0.627 0.945
Ca1 0.000 0.000 0.000
Tb1 0.425 0.474 0.211
Tb2 0.951 0.315 0.474
Tb3 0.636 0.211 0.315
Tb4 0.049 0.685 0.526
Tb5 0.364 0.789 0.685
Tb6 0.575 0.526 0.789

Computed properties:
**Energy relative to the elements**: 0.0371 eV per atom
**Uncorrected energy**: -5.6130 eV per atom
**Total magnetic moment**: 0.00 μB/cell
**SG**: R-3



No. 2
Compound: Li2Ca2In
Source: Alexandria via LeMat-Bulk
Functional: PBE
Structure: optimized geometry

a = 6.297 Å, b = 6.092 Å, c = 8.571 Å
α = 103.73°, β = 90.00°, γ = 121.12°
Positions (direct):
Ca1 0.220 0.693 0.353
Ca2 0.527 0.307 0.147
Ca3 0.473 0.693 0.853
Ca4 0.780 0.307 0.647
Li1 0.765 0.764 0.512
Li2 0.001 0.236 0.988
Li3 0.999 0.764 0.012
Li4 0.235 0.236 0.488
In1 0.201 0.000 0.750
In2 0.799 0.000 0.250

Computed properties:
**Energy relative to the elements**: -0.2275 eV per atom
**Uncorrected energy**: -2.3414 eV per atom
**Total magnetic moment**: 0.00 μB/cell
**SG**: C2/c
**Energy above the lowest structure with this stoichiometry**: 0 meV per atom



No. 3
Compound: PmAlAg3
Source: Alexandria via LeMat-Bulk
Functional: PBE
Structure: optimized geometry

a = 4.901 Å, b = 9.204 Å, c = 9.230 Å
α = 90.00°, β = 90.00°, γ = 90.00°
Positions (direct):
Ag1 0.250 0.896 0.153
Ag2 0.750 0.104 0.847
Ag3 0.750 0.113 0.161
Ag4 0.750 0.604 0.653
Ag5 0.250 0.387 0.661
Ag6 0.250 0.887 0.839
Ag7 0.750 0.919 0.618
Ag8 0.250 0.581 0.118
Ag9 0.750 0.613 0.339
Ag10 0.250 0.396 0.347
Ag11 0.750 0.419 0.882
Ag12 0.250 0.081 0.382
Al1 0.250 0.599 0.831
Al2 0.750 0.901 0.331
Al3 0.750 0.401 0.169
Al4 0.250 0.099 0.669
Pm1 0.750 0.759 0.996
Pm2 0.250 0.741 0.496
Pm3 0.750 0.259 0.504
Pm4 0.250 0.241 0.004

Computed properties:
**Energy relative to the elements**: -0.2424 eV per atom
**Uncorrected energy**: -3.6518 eV per atom
**Total magnetic moment**: 0.00 μB/cell
**SG**: Pnma
**Energy above the lowest structure with this stoichiometry**: 0 meV per atom



No. 4
Compound: PaTiSi2
Source: Alexandria via LeMat-Bulk
Functional: PBE
Structure: optimized geometry

a = 3.915 Å, b = 3.915 Å, c = 6.432 Å
α = 72.28°, β = 72.28°, γ = 60.00°
Positions (direct):
Si1 0.263 0.263 0.211
Si2 0.737 0.737 0.789
Pa1 0.500 0.500 0.500
Ti1 0.000 0.000 0.000

Computed properties:
**Uncorrected energy**: -7.4679 eV per atom
**Total magnetic moment**: 0.00 μB/cell
**SG**: R-3m
**Formation energy from raw total energies**: -1.63 eV/f.u.
**Energy above the lowest structure with this stoichiometry**: 192 meV per atom



No. 5
Compound: NbSbMoRu
Source: Alexandria via LeMat-Bulk
Functional: PBE
Structure: optimized geometry

a = 4.564 Å, b = 4.564 Å, c = 4.564 Å
α = 60.00°, β = 60.00°, γ = 60.00°
Positions (direct):
Nb1 0.500 0.500 0.500
Ru1 0.750 0.750 0.750
Mo1 0.250 0.250 0.250
Sb1 0.000 0.000 0.000

Computed properties:
**Uncorrected energy**: -8.6536 eV per atom
**Total magnetic moment**: 0.00 μB/cell
**SG**: F-43m
**Formation energy from raw total energies**: -0.32 eV/f.u.



No. 6
Compound: Rb2NbRe3O12
Source: Alexandria via LeMat-Bulk
Functional: PBE
Structure: optimized geometry

a = 7.400 Å, b = 7.400 Å, c = 7.400 Å
α = 59.21°, β = 59.21°, γ = 59.21°
Last column: magnetic moment on the atom in μB.
Positions (direct):
Rb1 0.374 0.374 0.374  0.00
Rb2 0.626 0.626 0.626  0.00
Re1 0.000 0.500 0.000  0.79
Re2 0.500 0.000 0.000  0.79
Re3 0.000 0.000 0.500  0.79
O1 0.693 0.066 0.693  0.03
O2 0.677 0.067 0.067  0.08
O3 0.934 0.307 0.307  0.03
O4 0.933 0.323 0.933  0.08
O5 0.693 0.693 0.066  0.03
O6 0.307 0.934 0.307  0.03
O7 0.067 0.067 0.677  0.08
O8 0.307 0.307 0.934  0.03
O9 0.066 0.693 0.693  0.03
O10 0.933 0.933 0.323  0.08
O11 0.067 0.677 0.067  0.08
O12 0.323 0.933 0.933  0.08
Nb1 0.000 0.000 0.000  0.08

Computed properties:
**Uncorrected energy**: -7.8721 eV per atom
**Total magnetic moment**: 3.42 μB/cell
**SG**: R-3m
**Formation energy from raw total energies**: -32.85 eV/f.u.



No. 7
Compound: Ca5Mg2Si2
Source: Alexandria via LeMat-Bulk
Functional: PBE
Structure: optimized geometry

a = 7.679 Å, b = 7.676 Å, c = 9.859 Å
α = 90.00°, β = 67.08°, γ = 90.00°
Positions (direct):
Si1 0.112 0.388 0.000
Si2 0.612 0.112 0.000
Si3 0.888 0.612 0.000
Si4 0.388 0.888 0.000
Mg1 0.727 0.500 0.547
Mg2 0.227 0.000 0.547
Mg3 0.773 0.000 0.453
Mg4 0.273 0.500 0.453
Ca1 0.297 0.681 0.769
Ca2 0.797 0.819 0.769
Ca3 0.703 0.319 0.231
Ca4 0.066 0.681 0.231
Ca5 0.934 0.319 0.769
Ca6 0.566 0.819 0.231
Ca7 0.203 0.181 0.231
Ca8 0.434 0.181 0.769
Ca9 0.000 0.000 0.000
Ca10 0.500 0.500 0.000

Computed properties:
**Uncorrected energy**: -2.9167 eV per atom
**Total magnetic moment**: 0.01 μB/cell
**SG**: Cmce
**Formation energy from raw total energies**: -2.21 eV/f.u.



No. 8
Compound: LiScRe2
Source: Alexandria via LeMat-Bulk
Functional: PBE
Structure: optimized geometry

a = 3.214 Å, b = 3.214 Å, c = 6.029 Å
α = 90.00°, β = 90.00°, γ = 90.00°
Positions (direct):
Li1 0.500 0.500 0.750
Sc1 0.500 0.500 0.250
Re1 0.000 0.000 0.944
Re2 0.000 0.000 0.556

Computed properties:
**Energy relative to the elements**: 0.3619 eV per atom
**Uncorrected energy**: -7.9235 eV per atom
**Total magnetic moment**: 0.00 μB/cell
**SG**: P4/mmm
**Energy above the lowest structure with this stoichiometry**: 382 meV per atom



uncorrected energy of number 4 (PaTiSi2)?
-7.4679 eV per atom